1.
{"formula": "Hf5ScP4", "functional": "PBE-GGA", "state": "relaxed", "crystal_system": "monoclinic", "ef_kj_per_mol_fu": -926, "cell": [[7.758, -1.813, 0.000], [7.758, 1.813, 0.000], [-2.082, 0.000, 7.012]], "species": ["Hf", "Hf", "Hf", "Hf", "Hf", "Sc", "P", "P", "P", "P"], "frac_coords": [[0.000, 0.000, 0.000], [0.314, 0.314, 0.160], [0.341, 0.341, 0.666], [0.659, 0.659, 0.334], [0.686, 0.686, 0.840], [0.000, 0.000, 0.500], [0.170, 0.170, 0.586], [0.487, 0.487, 0.238], [0.513, 0.513, 0.762], [0.830, 0.830, 0.414]]}

2.
{"formula": "Nd5PuPb4", "functional": "PBE-GGA", "state": "relaxed", "crystal_system": "monoclinic", "ef_kj_per_mol_fu": -98, "cell": [[9.783, -1.908, 0.000], [9.783, 1.908, 0.000], [-2.514, 0.000, 9.587]], "species": ["Nd", "Nd", "Nd", "Nd", "Nd", "Pu", "Pb", "Pb", "Pb", "Pb"], "frac_coords": [[0.000, 0.000, 0.000], [0.323, 0.323, 0.140], [0.335, 0.335, 0.693], [0.665, 0.665, 0.307], [0.677, 0.677, 0.860], [0.000, 0.000, 0.500], [0.167, 0.167, 0.582], [0.494, 0.494, 0.247], [0.506, 0.506, 0.753], [0.833, 0.833, 0.418]]}

3.
{"formula": "CeZrSb", "functional": "PBE-GGA", "state": "relaxed", "formation_energy_uncorrected_mev_per_atom": -706, "crystal_system": "tetragonal", "cell": [[4.386, 0.000, 0.000], [0.000, 4.386, 0.000], [0.000, 0.000, 8.430]], "species": ["Ce", "Ce", "Zr", "Zr", "Sb", "Sb"], "frac_coords": [[0.250, 0.250, 0.147], [0.750, 0.750, 0.853], [0.250, 0.750, 0.500], [0.750, 0.250, 0.500], [0.250, 0.250, 0.752], [0.750, 0.750, 0.248]]}

4.
{"formula": "Pr4CuOs", "functional": "PBE-GGA", "state": "relaxed", "crystal_system": "monoclinic", "ef_kj_per_mol_fu": -35, "de_polymorph_ev_per_atom": 0.0000, "cell": [[4.572, -6.840, 0.000], [4.572, 6.840, 0.000], [-3.263, 0.000, 5.494]], "species": ["Pr", "Pr", "Pr", "Pr", "Pr", "Pr", "Pr", "Pr", "Cu", "Cu", "Os", "Os"], "frac_coords": [[0.053, 0.701, 0.909], [0.225, 0.364, 0.710], [0.299, 0.947, 0.591], [0.364, 0.225, 0.210], [0.636, 0.775, 0.790], [0.701, 0.053, 0.409], [0.775, 0.636, 0.290], [0.947, 0.299, 0.091], [0.373, 0.627, 0.250], [0.627, 0.373, 0.750], [0.001, 0.999, 0.250], [0.999, 0.001, 0.750]]}